Material: Cs2WI2F4
Method: DFT, PBE with a Hubbard U
State: optimized geometry

The structure belongs to space group I4/mmm (No. 139); the cell edges are 7.698, 7.698 and 9.727 Å and the angles 90.00°, 90.00° and 90.00°. The asymmetric unit holds Cs at (0.000, 0.500, 0.250), W at (0.000, 0.000, 0.000), I at (0.000, 0.000, 0.293) and F at (0.183, 0.183, 0.000).

The energy is -4.3705 eV/atom.